{
  "formula": "Li2YSi2",
  "functional": "meta-GGA SCAN",
  "state": "single point on PBEsol structure",
  "formation_energy_uncorrected_ev_per_fu": -2.58,
  "polymorph_energy_kj_per_mol_fu": 0,
  "rho_kg_m3": 3025,
  "dos_at_fermi_per_ev_cell": 1.2,
  "crystal_system": "tetragonal",
  "cell": [[-1.9737, 1.9737, 5.6006], [1.9737, -1.9737, 5.6006], [1.9737, 1.9737, -5.6006]],
  "species": ["Li", "Li", "Y", "Si", "Si"],
  "fractional_positions": [[0.2500, 0.7500, 0.5000], [0.7500, 0.2500, 0.5000], [0.0000, 0.0000, 0.0000], [0.3968, 0.3968, 0.0000], [0.6032, 0.6032, 0.0000]]
}